# TcTe2Au, single point on PBEsol structure, DFT meta-GGA SCAN
# Energy relative to the elements, uncorrected   0.573 eV/atom
# Crystal system   orthorhombic
# Theoretical density   11.7 g/cm³
data_TcTe2Au
_symmetry_space_group_name_H-M 'P 1'
_symmetry_Int_Tables_number 1
_symmetry_space_group_name_Hall 'P 1'
_cell_length_a 3.3979
_cell_length_b 4.8276
_cell_length_c 4.8276
_cell_angle_alpha 98.40
_cell_angle_beta 90.00
_cell_angle_gamma 90.00
loop_
_atom_site_label
_atom_site_type_symbol
_atom_site_fract_x
_atom_site_fract_y
_atom_site_fract_z
Au1 Au 0.5000 0.0000 0.0000
Tc1 Tc 0.5000 0.5000 0.5000
Te1 Te 0.0000 0.5000 0.0000
Te2 Te 0.0000 0.0000 0.5000